This record from Alexandria via LeMat-Bulk describes a geometry-optimized Pm4Ru3C5 structure. The functional is GGA-PBE.

Summary:
total magnetic moment: 0.00 μB/atom
N(E_F): 0.569 states/eV/atom
calculated density: 7.55 g/cm³
total DFT energy (no corrections): -7.9138 eV per atom

Structure (CIF):
```
data_Pm4Ru3C5
_space_group_name_H-M_alt 'C 1 2/m 1'
_space_group_IT_number 12
_cell_length_a 11.907
_cell_length_b 3.937
_cell_length_c 9.785
_cell_angle_alpha 90.00
_cell_angle_beta 115.25
_cell_angle_gamma 90.00
loop_
_space_group_symop_operation_xyz
'x,y,z'
'-x,-y,-z'
'-x,y,-z'
'x,-y,z'
'x+1/2,y+1/2,z'
'-x+1/2,-y+1/2,-z'
'-x+1/2,y+1/2,-z'
'x+1/2,-y+1/2,z'
loop_
_atom_site_label
_atom_site_fract_x
_atom_site_fract_y
_atom_site_fract_z
_atom_site_occupancy
Pm1 0.104 0.000 0.403 1
Pm2 0.240 0.500 0.167 1
Ru1 0.000 0.000 0.000 1
Ru2 0.049 0.500 0.827 1
C1 0.000 0.500 0.000 1
C2 0.114 0.500 0.674 1
C3 0.195 0.500 0.611 1
```